Pu2ThIn2Ag2 after structural relaxation. Source: Alexandria, functional PBE.

Cell and atoms, written as extended XYZ:
```
7
Lattice="4.322 -2.513 0.000 4.322 2.513 0.000 -2.958 0.000 7.812" Properties=species:S:1:pos:R:3 pbc="T T T"
Pu -0.021 0.000 3.418
Pu 5.708 0.000 4.394
Th 0.000 0.000 0.000
In 2.877 0.000 1.906
In 2.810 0.000 5.906
Ag -0.073 0.000 6.471
Ag 5.760 0.000 1.341
```

Properties
Calculated formation energy, eV/atom: -0.111
Total magnetic moment, μB per formula unit: 12.17